CoAuI2O | PBE with a Hubbard U | optimized geometry

Computed properties:
The distance to the lowest polymorph of the same formula is 0.556 eV/atom. The calculation puts the volume at 130 Å³ per cell.

a = 5.7105 Å, b = 5.7105 Å, c = 3.9970 Å
α = 90.00°, β = 90.00°, γ = 90.00°
Atoms (fractional coordinates):
I 0.5000 0.0000 0.0000
I 0.0000 0.5000 0.0000
Au 0.0000 0.0000 0.0000
O 0.0000 0.0000 0.5000
Co 0.5000 0.5000 0.5000